No. 1
Crystalline Tb2SnI3 at its relaxed geometry, computed with GGA-PBE.

Structure (CIF):
```
data_Tb2SnI3
_chemical_formula_sum 'Tb8 Sn4 I12'
_space_group_name_H-M_alt 'C 1 2/m 1'
_space_group_IT_number 12
_space_group_name_Hall '-C 2y'
_cell_length_a 20.1239
_cell_length_b 4.2700
_cell_length_c 13.8975
_cell_angle_alpha 90.00
_cell_angle_beta 129.27
_cell_angle_gamma 90.00
loop_
_atom_site_label
_atom_site_type_symbol
_atom_site_fract_x
_atom_site_fract_y
_atom_site_fract_z
Tb1 Tb 0.1071 0.0000 0.4302
Tb2 Tb 0.1252 0.5000 0.8257
Sn1 Sn 0.0692 0.0000 0.6287
I1 I 0.0467 0.5000 0.2204
I2 I 0.1764 0.0000 0.0326
I3 I 0.2406 0.5000 0.6123
```

Values from the calculation:
Raw formation energy ... -1.010 eV per atom


No. 2
Crystalline Tb4Sn2I5 at its relaxed geometry, computed with GGA-PBE.

Structure (CIF):
```
data_Tb4Sn2I5
_chemical_formula_sum 'Tb8 Sn4 I10'
_space_group_name_H-M_alt 'I m m m'
_space_group_IT_number 71
_space_group_name_Hall '-I 2 2'
_cell_length_a 3.8090
_cell_length_b 8.5975
_cell_length_c 24.4633
_cell_angle_alpha 90.00
_cell_angle_beta 90.00
_cell_angle_gamma 90.00
loop_
_atom_site_label
_atom_site_type_symbol
_atom_site_fract_x
_atom_site_fract_y
_atom_site_fract_z
Tb1 Tb 0.0000 0.0000 0.1109
Tb2 Tb 0.0000 0.2996 0.5000
Sn1 Sn 0.0000 0.0000 0.2465
I1 I 0.0000 0.2251 0.3721
I2 I 0.0000 0.5000 0.0000
```

Values from the calculation:
Raw formation energy ... -0.499 eV per atom


No. 3
Crystalline Tb4SnI at its relaxed geometry, computed with GGA-PBE.

Structure (CIF):
```
data_Tb4SnI
_chemical_formula_sum 'Tb8 Sn2 I2'
_space_group_name_H-M_alt 'P -1'
_space_group_IT_number 2
_space_group_name_Hall '-P 1'
_cell_length_a 6.4865
_cell_length_b 7.4643
_cell_length_c 9.0999
_cell_angle_alpha 72.32
_cell_angle_beta 71.63
_cell_angle_gamma 82.35
loop_
_atom_site_label
_atom_site_type_symbol
_atom_site_fract_x
_atom_site_fract_y
_atom_site_fract_z
Tb1 Tb 0.0378 0.4669 0.3189
Tb2 Tb 0.1928 0.9196 0.3725
Tb3 Tb 0.2894 0.8438 0.7884
Tb4 Tb 0.4613 0.4047 0.7337
Sn1 Sn 0.3174 0.2187 0.5245
I1 I 0.0000 0.5000 0.0000
I2 I 0.5000 0.0000 0.0000
```

Values from the calculation:
Raw formation energy ... -0.290 eV per atom


No. 4
Crystalline TbSnI5 at its relaxed geometry, computed with GGA-PBE.

Structure (CIF):
```
data_TbSnI5
_chemical_formula_sum 'Tb2 Sn2 I10'
_space_group_name_H-M_alt 'P 1 21/m 1'
_space_group_IT_number 11
_space_group_name_Hall '-P 2yb'
_cell_length_a 9.2405
_cell_length_b 4.4769
_cell_length_c 15.0718
_cell_angle_alpha 90.00
_cell_angle_beta 94.78
_cell_angle_gamma 90.00
loop_
_atom_site_label
_atom_site_type_symbol
_atom_site_fract_x
_atom_site_fract_y
_atom_site_fract_z
Tb1 Tb 0.0916 0.2500 0.1494
Sn1 Sn 0.4008 0.7500 0.3673
I1 I 0.1119 0.2500 0.7966
I2 I 0.1455 0.2500 0.3629
I3 I 0.1769 0.7500 0.0146
I4 I 0.3561 0.7500 0.5703
I5 I 0.4187 0.2500 0.1848
```

Values from the calculation:
Raw formation energy ... -0.971 eV per atom


No. 5
Crystalline TbSnI2 at its relaxed geometry, computed with GGA-PBE.

Structure (CIF):
```
data_TbSnI2
_chemical_formula_sum 'Tb3 Sn3 I6'
_space_group_name_H-M_alt 'R -3 m'
_space_group_IT_number 166
_space_group_name_Hall '-R 3 2"'
_cell_length_a 3.8719
_cell_length_b 3.8719
_cell_length_c 32.7849
_cell_angle_alpha 90.00
_cell_angle_beta 90.00
_cell_angle_gamma 120.00
loop_
_atom_site_label
_atom_site_type_symbol
_atom_site_fract_x
_atom_site_fract_y
_atom_site_fract_z
Tb1 Tb 0.0000 0.0000 0.0000
Sn1 Sn 0.0000 0.0000 0.5000
I1 I 0.0000 0.0000 0.3989
```

Values from the calculation:
Raw formation energy ... -0.621 eV per atom


No. 6
Crystalline TcSn3I at its relaxed geometry, computed with GGA-PBE.

Structure (CIF):
```
data_TcSn3I
_chemical_formula_sum 'Tc1 Sn3 I1'
_space_group_name_H-M_alt 'P m -3 m'
_space_group_IT_number 221
_space_group_name_Hall '-P 4 2 3'
_cell_length_a 5.7734
_cell_length_b 5.7734
_cell_length_c 5.7734
_cell_angle_alpha 90.00
_cell_angle_beta 90.00
_cell_angle_gamma 90.00
loop_
_atom_site_label
_atom_site_type_symbol
_atom_site_fract_x
_atom_site_fract_y
_atom_site_fract_z
Tc1 Tc 0.0000 0.0000 0.0000
Sn1 Sn 0.0000 0.5000 0.5000
I1 I 0.5000 0.5000 0.5000
```

Values from the calculation:
Raw formation energy ... 1.638 eV per atom


No. 7
Crystalline TcSnI3 at its relaxed geometry, computed with GGA-PBE.

Structure (CIF):
```
data_TcSnI3
_chemical_formula_sum 'Tc1 Sn1 I3'
_space_group_name_H-M_alt 'P m -3 m'
_space_group_IT_number 221
_space_group_name_Hall '-P 4 2 3'
_cell_length_a 5.4514
_cell_length_b 5.4514
_cell_length_c 5.4514
_cell_angle_alpha 90.00
_cell_angle_beta 90.00
_cell_angle_gamma 90.00
loop_
_atom_site_label
_atom_site_type_symbol
_atom_site_fract_x
_atom_site_fract_y
_atom_site_fract_z
Tc1 Tc 0.0000 0.0000 0.0000
Sn1 Sn 0.5000 0.5000 0.5000
I1 I 0.0000 0.0000 0.5000
```

Values from the calculation:
Raw formation energy ... 0.440 eV per atom


No. 8
Crystalline TcSn3I at its relaxed geometry, computed with GGA-PBE.

Structure (CIF):
```
data_TcSn3I
_chemical_formula_sum 'Tc1 Sn3 I1'
_space_group_name_H-M_alt 'P m -3 m'
_space_group_IT_number 221
_space_group_name_Hall '-P 4 2 3'
_cell_length_a 5.2427
_cell_length_b 5.2427
_cell_length_c 5.2427
_cell_angle_alpha 90.00
_cell_angle_beta 90.00
_cell_angle_gamma 90.00
loop_
_atom_site_label
_atom_site_type_symbol
_atom_site_fract_x
_atom_site_fract_y
_atom_site_fract_z
Tc1 Tc 0.0000 0.0000 0.0000
Sn1 Sn 0.0000 0.0000 0.5000
I1 I 0.5000 0.5000 0.5000
```

Values from the calculation:
Raw formation energy ... -0.106 eV per atom


No. 9
Crystalline TcSnI3 at its relaxed geometry, computed with GGA-PBE.

Structure (CIF):
```
data_TcSnI3
_chemical_formula_sum 'Tc1 Sn1 I3'
_space_group_name_H-M_alt 'P m -3 m'
_space_group_IT_number 221
_space_group_name_Hall '-P 4 2 3'
_cell_length_a 6.1166
_cell_length_b 6.1166
_cell_length_c 6.1166
_cell_angle_alpha 90.00
_cell_angle_beta 90.00
_cell_angle_gamma 90.00
loop_
_atom_site_label
_atom_site_type_symbol
_atom_site_fract_x
_atom_site_fract_y
_atom_site_fract_z
Tc1 Tc 0.0000 0.0000 0.0000
Sn1 Sn 0.5000 0.5000 0.5000
I1 I 0.0000 0.5000 0.5000
```

Values from the calculation:
Raw formation energy ... 0.786 eV per atom


No. 10
Crystalline Tc3SnI at its relaxed geometry, computed with GGA-PBE.

Structure (CIF):
```
data_Tc3SnI
_chemical_formula_sum 'Tc3 Sn1 I1'
_space_group_name_H-M_alt 'P m -3 m'
_space_group_IT_number 221
_space_group_name_Hall '-P 4 2 3'
_cell_length_a 4.8720
_cell_length_b 4.8720
_cell_length_c 4.8720
_cell_angle_alpha 90.00
_cell_angle_beta 90.00
_cell_angle_gamma 90.00
loop_
_atom_site_label
_atom_site_type_symbol
_atom_site_fract_x
_atom_site_fract_y
_atom_site_fract_z
Tc1 Tc 0.0000 0.0000 0.5000
Sn1 Sn 0.5000 0.5000 0.5000
I1 I 0.0000 0.0000 0.0000
```

Values from the calculation:
Raw formation energy ... 1.842 eV per atom


No. 11
Crystalline Sn2TeI at its relaxed geometry, computed with GGA-PBE.

Structure (CIF):
```
data_Sn2TeI
_chemical_formula_sum 'Sn6 Te3 I3'
_space_group_name_H-M_alt 'R -3 m'
_space_group_IT_number 166
_space_group_name_Hall '-R 3 2"'
_cell_length_a 4.2250
_cell_length_b 4.2250
_cell_length_c 26.5848
_cell_angle_alpha 90.00
_cell_angle_beta 90.00
_cell_angle_gamma 120.00
loop_
_atom_site_label
_atom_site_type_symbol
_atom_site_fract_x
_atom_site_fract_y
_atom_site_fract_z
Sn1 Sn 0.0000 0.0000 0.2430
Te1 Te 0.0000 0.0000 0.5000
I1 I 0.0000 0.0000 0.0000
```

Values from the calculation:
Raw formation energy ... -0.154 eV per atom


No. 12
Crystalline Sn2Te2I at its relaxed geometry, computed with GGA-PBE.

Structure (CIF):
```
data_Sn2Te2I
_chemical_formula_sum 'Sn4 Te4 I2'
_space_group_name_H-M_alt 'I 4/m m m'
_space_group_IT_number 139
_space_group_name_Hall '-I 4 2'
_cell_length_a 5.4491
_cell_length_b 5.4491
_cell_length_c 12.5262
_cell_angle_alpha 90.00
_cell_angle_beta 90.00
_cell_angle_gamma 90.00
loop_
_atom_site_label
_atom_site_type_symbol
_atom_site_fract_x
_atom_site_fract_y
_atom_site_fract_z
Sn1 Sn 0.0000 0.5000 0.2500
Te1 Te 0.0000 0.0000 0.1432
I1 I 0.0000 0.0000 0.5000
```

Values from the calculation:
Raw formation energy ... -0.129 eV per atom


What are the magnetic moment values for these records? In order: 0.00, 0.01, 0.00, 0.00, 0.00, 3.86, 1.57, 0.00, 5.92, 3.99, 0.00, 0.00 μB per cell.